(1)
# Mn2FeSb | Alexandria | PBE | relaxed
# - crystal system = tetragonal
# - formation energy from raw total energies (eV/atom) = 0.10
# - magnetic moment (μB/f.u.) = 1.0
# - raw total energy (eV per atom) = -7.63
data_Mn2FeSb
_space_group_name_H-M_alt 'I -4 m 2'
_space_group_IT_number 119
_space_group_name_Hall 'I -4 -2'
_cell_length_a 3.9214
_cell_length_b 3.9214
_cell_length_c 7.1697
_cell_angle_alpha 90.00
_cell_angle_beta 90.00
_cell_angle_gamma 90.00
loop_
_atom_site_label
_atom_site_type_symbol
_atom_site_fract_x
_atom_site_fract_y
_atom_site_fract_z
_atom_site_occupancy
Mn1 Mn 0.0000 0.0000 0.0000 1
Mn2 Mn 0.0000 0.5000 0.2500 1
Fe1 Fe 0.0000 0.5000 0.7500 1
Sb1 Sb 0.0000 0.0000 0.5000 1

(2)
# Mn2FeCoH | Alexandria | PBE | relaxed
# - energy above the lowest structure with this stoichiometry (kJ/mol of atoms) = 0.0
# - crystal system = tetragonal
# - magnetic moment (μB/f.u.) = 0.6
# - raw total energy (eV per atom) = -7.41
data_Mn2FeCoH
_space_group_name_H-M_alt 'P 4/m m m'
_space_group_IT_number 123
_space_group_name_Hall '-P 4 2'
_cell_length_a 3.5977
_cell_length_b 3.5977
_cell_length_c 3.5641
_cell_angle_alpha 90.00
_cell_angle_beta 90.00
_cell_angle_gamma 90.00
loop_
_atom_site_label
_atom_site_type_symbol
_atom_site_fract_x
_atom_site_fract_y
_atom_site_fract_z
_atom_site_occupancy
Mn1 Mn 0.0000 0.5000 0.0000 1
Fe1 Fe 0.0000 0.0000 0.5000 1
Co1 Co 0.5000 0.5000 0.5000 1
H1 H 0.5000 0.5000 0.0000 1

Number 1: DOS at the Fermi energy 2.987 states/eV per cell. Number 2: DOS at the Fermi energy 4.539 states/eV per cell.